[1]
Below is a relaxed La3Ni2Ge4Pt2 crystal, with properties calculated at the PBE level.

Unit cell a=12.7593 b=12.7593 c=12.7593 alpha=161.13 beta=160.36 gamma=27.37
Closest atoms and distances in Å follow each position.
Fractional positions:
Pt 0.8995 0.3995 0.5000  3 Ge 2.50-2.55
Ge 0.4490 0.4490 0.0000  2 Pt 2.50, 1 Ge 2.53
La 0.6523 0.1523 0.5000  4 Ni 3.20-3.26, 7 Ge 3.27-3.58, 4 Pt 3.28
La 0.0000 0.0000 0.0000  4 Pt 3.25, 8 Ge 3.27
Ge 0.2034 0.7034 0.5000  4 Ni 2.39-2.47, 1 Pt 2.55
Pt 0.1005 0.6005 0.5000  3 Ge 2.50-2.55
La 0.3477 0.8477 0.5000  4 Ni 3.20-3.26, 7 Ge 3.27-3.58, 4 Pt 3.28
Ni 0.2499 0.2499 0.0000  4 Ge 2.39-2.47
Ni 0.7501 0.7501 0.0000  4 Ge 2.39-2.47
Ge 0.7966 0.2966 0.5000  4 Ni 2.39-2.47, 1 Pt 2.55
Ge 0.5510 0.5510 0.0000  2 Pt 2.50, 1 Ge 2.53

Summary:
Its total energy is -0.445 Ry per atom. The magnetization is 0.000 μB per cell.


[2]
Below is a relaxed Sc2Hg crystal, with properties calculated at the PBE level.

Unit cell a=8.5534 b=8.5534 c=8.5534 alpha=60.00 beta=60.00 gamma=60.00
Closest atoms and distances in Å follow each position.
Fractional positions:
Sc 0.3750 0.3750 0.8750  2 Hg 2.62
Sc 0.3750 0.8750 0.3750  2 Hg 2.62
Hg 0.5000 0.5000 0.5000  4 Sc 2.62
Hg 0.2500 0.2500 0.2500  4 Sc 2.62
Sc 0.3750 0.3750 0.3750  2 Hg 2.62
Sc 0.8750 0.3750 0.3750  2 Hg 2.62

Summary:
For the formation energy, the calculation gives 1.436 eV per atom. The magnetization is 0.049 μB per cell.


[3]
Below is a relaxed TmZrPa crystal, with properties calculated at the PBE level.

Unit cell a=4.9868 b=4.9868 c=4.9868 alpha=60.00 beta=60.00 gamma=60.00
Closest atoms and distances in Å follow each position.
Fractional positions:
Pa 0.2500 0.2500 0.2500  4 Zr 3.05
Zr 0.0000 0.0000 0.0000  4 Tm 3.05, 4 Pa 3.05
Tm 0.7500 0.7500 0.7500  4 Zr 3.05

Summary:
For the formation energy, the calculation gives 0.867 eV per atom. The magnetization is 0.024 μB per cell.


[4]
Below is a relaxed Cs2MgHgI6 crystal, with properties calculated at the PBE level.

Unit cell a=8.2259 b=8.2259 c=9.0892 alpha=119.04 beta=119.04 gamma=62.73
Closest atoms and distances in Å follow each position.
Fractional positions:
I 0.7048 0.2343 0.6930  1 Mg 2.86
Mg 0.5000 0.5000 0.5000  4 I 2.86
I 0.7657 0.2952 0.3070  1 Mg 2.86
Cs 0.2396 0.2396 0.7306  9 I 3.91-4.37
Hg 0.0000 0.0000 0.0000  2 I 2.72
I 0.2952 0.7657 0.3070  1 Mg 2.86
I 0.7676 0.7676 0.8454  1 Hg 2.72
I 0.2343 0.7048 0.6930  1 Mg 2.86
Cs 0.7604 0.7604 0.2694  9 I 3.91-4.37
I 0.2324 0.2324 0.1546  1 Hg 2.72

Summary:
Its total energy is -0.167 Ry per atom.


[5]
Below is a relaxed HoIrPt crystal, with properties calculated at the PBE level.

Unit cell a=4.5087 b=4.5087 c=4.5087 alpha=60.00 beta=60.00 gamma=60.00
Closest atoms and distances in Å follow each position.
Fractional positions:
Ho 0.2500 0.2500 0.2500  4 Pt 2.76
Pt 0.0000 0.0000 0.0000  4 Ir 2.76, 4 Ho 2.76
Ir 0.7500 0.7500 0.7500  4 Pt 2.76

Summary:
For the formation energy, the calculation gives -0.326 eV per atom. The magnetization is 0.525 μB per cell.


[6]
Below is a relaxed Zr3TlB2 crystal, with properties calculated at the PBE level.

Unit cell a=3.4558 b=3.4558 c=21.2033 alpha=90.00 beta=90.00 gamma=120.00
Closest atoms and distances in Å follow each position.
Fractional positions:
Zr 0.0000 0.0000 0.0000  6 B 2.48
Zr 0.3333 0.6667 0.6293  3 B 2.36
B 0.6667 0.3333 0.9304  6 Zr 2.36-2.48
Zr 0.3333 0.6667 0.8707  3 B 2.36
Tl 0.0000 0.0000 0.7500  6 Zr 3.25, 6 Tl 3.46
B 0.6667 0.3333 0.5696  6 Zr 2.36-2.48
B 0.3333 0.6667 0.0696  6 Zr 2.36-2.48
Zr 0.6667 0.3333 0.1293  3 B 2.36
Zr 0.6667 0.3333 0.3707  3 B 2.36
B 0.3333 0.6667 0.4304  6 Zr 2.36-2.48
Zr 0.0000 0.0000 0.5000  6 B 2.48
Tl 0.0000 0.0000 0.2500  6 Zr 3.25, 6 Tl 3.46

Summary:
Its total energy is -0.535 Ry per atom. The magnetization is 0.022 μB per cell.


[7]
Below is a relaxed PrAgGe2Pt crystal, with properties calculated at the PBE level.

Unit cell a=4.4031 b=4.4031 c=10.4920 alpha=90.00 beta=90.00 gamma=90.00
Closest atoms and distances in Å follow each position.
Fractional positions:
Ag 0.5000 0.5000 0.0000  4 Ge 2.69
Pt 0.0000 0.5000 0.6175  5 Ge 2.47-2.52
Pr 0.5000 0.0000 0.7421  8 Ge 3.32-3.36, 4 Pt 3.38, 4 Ag 3.49
Pt 0.5000 0.0000 0.3825  5 Ge 2.47-2.52
Ge 0.5000 0.0000 0.1469  1 Pt 2.47, 4 Ag 2.69
Pr 0.0000 0.5000 0.2579  8 Ge 3.32-3.36, 4 Pt 3.38, 4 Ag 3.49
Ag 0.0000 0.0000 0.0000  4 Ge 2.69
Ge 0.5000 0.5000 0.5000  4 Pt 2.52
Ge 0.0000 0.0000 0.5000  4 Pt 2.52
Ge 0.0000 0.5000 0.8531  1 Pt 2.47, 4 Ag 2.69

Summary:
Its total energy is -0.389 Ry per atom. The magnetization is 0.003 μB per cell.


[8]
Below is a relaxed LaSmMg6 crystal, with properties calculated at the PBE level.

Unit cell a=5.2616 b=5.2616 c=7.4249 alpha=90.00 beta=90.00 gamma=90.00
Closest atoms and distances in Å follow each position.
Fractional positions:
Mg 0.5000 0.0000 0.7547  4 Mg 3.20-3.24, 2 Sm 3.20, 2 La 3.24
Mg 0.5000 0.5000 0.5000  8 Mg 3.24
Mg 0.5000 0.0000 0.2453  4 Mg 3.20-3.24, 2 Sm 3.20, 2 La 3.24
Mg 0.0000 0.5000 0.2453  4 Mg 3.20-3.24, 2 Sm 3.20, 2 La 3.24
La 0.0000 0.0000 0.5000  8 Mg 3.24
Mg 0.0000 0.5000 0.7547  4 Mg 3.20-3.24, 2 Sm 3.20, 2 La 3.24
Sm 0.5000 0.5000 0.0000  8 Mg 3.20
Mg 0.0000 0.0000 0.0000  8 Mg 3.20

Summary:
Its total energy is -0.183 Ry per atom. The magnetization is 0.011 μB per cell.


[9]
Below is a relaxed TmPbAuSe3 crystal, with properties calculated at the PBE level.

Unit cell a=10.6376 b=4.0719 c=13.7356 alpha=90.00 beta=90.00 gamma=90.00
Closest atoms and distances in Å follow each position.
Fractional positions:
Se 0.2358 0.2500 0.8400  2 Au 2.70, 2 Tm 2.92-2.95
Pb 0.7646 0.7500 0.4841  7 Se 3.17-3.35, 2 Au 3.37
Tm 0.4859 0.2500 0.7472  6 Se 2.87-2.95
Se 0.4654 0.2500 0.1102  1 Au 2.63, 2 Tm 2.87
Au 0.7557 0.2500 0.2884  4 Se 2.57-2.70
Se 0.4418 0.7500 0.6032  1 Au 2.57, 2 Tm 2.88
Pb 0.7354 0.2500 0.9841  7 Se 3.17-3.35, 2 Au 3.37
Tm 0.9859 0.2500 0.7528  6 Se 2.87-2.95
Se 0.5582 0.2500 0.3968  1 Au 2.57, 2 Tm 2.88
Pb 0.2354 0.2500 0.5159  7 Se 3.17-3.35, 2 Au 3.37
Tm 0.5141 0.7500 0.2528  6 Se 2.87-2.95
Au 0.2557 0.2500 0.2116  4 Se 2.57-2.70
Au 0.7443 0.7500 0.7884  4 Se 2.57-2.70
Tm 0.0141 0.7500 0.2472  6 Se 2.87-2.95
Se 0.7358 0.2500 0.6600  2 Au 2.70, 2 Tm 2.92-2.95
Au 0.2443 0.7500 0.7116  4 Se 2.57-2.70
Se 0.0346 0.7500 0.6102  1 Au 2.63, 2 Tm 2.87
Se 0.9418 0.7500 0.8968  1 Au 2.57, 2 Tm 2.88
Se 0.2642 0.7500 0.3400  2 Au 2.70, 2 Tm 2.92-2.95
Se 0.0582 0.2500 0.1032  1 Au 2.57, 2 Tm 2.88
Se 0.7642 0.7500 0.1600  2 Au 2.70, 2 Tm 2.92-2.95
Se 0.5346 0.7500 0.8898  1 Au 2.63, 2 Tm 2.87
Se 0.9654 0.2500 0.3898  1 Au 2.63, 2 Tm 2.87
Pb 0.2646 0.7500 0.0159  7 Se 3.17-3.35, 2 Au 3.37

Summary:
Its total energy is -0.335 Ry per atom. The magnetization is 0.014 μB per cell.


[10]
Below is a relaxed Cu2Ag3 crystal, with properties calculated at the PBE level.

Unit cell a=4.8757 b=4.8757 c=11.8514 alpha=99.40 beta=99.40 gamma=34.00
Closest atoms and distances in Å follow each position.
Fractional positions:
Ag 0.6032 0.6032 0.1858  10 Ag 2.81-2.98, 2 Cu 2.82
Ag 0.3104 0.3104 0.0792  5 Cu 2.65-2.84, 5 Ag 2.81-2.86
Ag 0.1936 0.1936 0.4076  3 Cu 2.75-2.87, 9 Ag 2.80-2.98
Cu 0.0110 0.0110 0.9809  4 Cu 2.52-2.60, 4 Ag 2.76-2.82
Ag 0.0915 0.0915 0.7122  7 Cu 2.65-2.86, 5 Ag 2.76-2.85
Cu 0.6995 0.6995 0.8961  7 Cu 2.60-2.86, 4 Ag 2.65
Cu 0.4965 0.4965 0.5077  10 Ag 2.75-2.90, 2 Cu 2.85
Ag 0.8012 0.8012 0.6120  7 Ag 2.76-2.85, 5 Cu 2.76-2.90
Cu 0.3924 0.3924 0.8158  4 Cu 2.52-2.60, 4 Ag 2.79-2.81
Ag 0.9007 0.9007 0.3027  10 Ag 2.80-3.00, 2 Cu 2.83

Summary:
For the formation energy, the calculation gives 0.077 eV per atom.


[11]
Below is a relaxed Pr3Te2Se crystal, with properties calculated at the PBE level.

Unit cell a=4.4222 b=4.4222 c=10.9683 alpha=90.00 beta=90.00 gamma=120.00
Closest atoms and distances in Å follow each position.
Fractional positions:
Pr 0.3333 0.6667 0.3531  3 Se 3.02, 3 Te 3.22
Pr 0.6667 0.3333 0.6469  3 Se 3.02, 3 Te 3.22
Se 0.0000 0.0000 0.5000  6 Pr 3.02
Te 0.3333 0.6667 0.8256  6 Pr 3.19-3.22
Te 0.6667 0.3333 0.1744  6 Pr 3.19-3.22
Pr 0.0000 0.0000 0.0000  6 Te 3.19

Summary:
Its total energy is -0.411 Ry per atom. The magnetization is 0.013 μB per cell.


[12]
Below is a relaxed Dy2ZrN3 crystal, with properties calculated at the PBE level.

Unit cell a=3.3675 b=3.3675 c=8.3195 alpha=90.00 beta=90.00 gamma=120.00
Closest atoms and distances in Å follow each position.
Fractional positions:
N 0.3333 0.6667 0.3468  3 Zr 2.32, 3 Dy 2.44
N 0.6667 0.3333 0.6532  3 Zr 2.32, 3 Dy 2.44
Zr 0.0000 0.0000 0.5000  6 N 2.32
Dy 0.6667 0.3333 0.1692  6 N 2.40-2.44
Dy 0.3333 0.6667 0.8308  6 N 2.40-2.44
N 0.0000 0.0000 0.0000  6 Dy 2.40

Summary:
Its total energy is -0.650 Ry per atom. The magnetization is 0.001 μB per cell.